[1]
Entry from the Alexandria database: NaSrTlIn after structural relaxation (PBE-GGA).

Output
Spin magnetization (μB/cell): 0.0
Uncorrected energy (eV/atom): -2.27
D(E_F) (states/eV/f.u.): 3.39

POSCAR file:
```
NaSrTlIn
1.0
0.000 3.956 3.956
3.956 0.000 3.956
3.956 3.956 0.000
Na Sr Tl In
1 1 1 1
direct
0.000 0.000 0.000 Na
0.500 0.500 0.500 Sr
0.750 0.750 0.750 Tl
0.250 0.250 0.250 In
```

[2]
Entry from the Alexandria database: Ag3Cl5F after structural relaxation (PBE-GGA).

Output
Spin magnetization (μB/cell): 2.9
Raw formation energy (eV/atom): -0.447
Uncorrected energy (eV/atom): -2.63
D(E_F) (states/eV/f.u.): 5.37

POSCAR file:
```
Ag3Cl5F
1.0
7.737 0.000 0.000
-1.604 7.576 0.000
-2.672 -4.100 8.618
Ag Cl F
6 10 2
direct
0.000 0.000 0.000 Ag
0.000 0.500 0.500 Ag
0.334 0.492 0.826 Ag
0.335 0.997 0.332 Ag
0.665 0.003 0.668 Ag
0.666 0.508 0.174 Ag
0.006 0.178 0.840 Cl
0.220 0.320 0.540 Cl
0.326 0.826 0.500 Cl
0.339 0.166 0.160 Cl
0.437 0.673 0.110 Cl
0.563 0.327 0.890 Cl
0.661 0.834 0.840 Cl
0.674 0.174 0.500 Cl
0.780 0.680 0.460 Cl
0.994 0.822 0.160 Cl
0.125 0.623 0.748 F
0.875 0.377 0.252 F
```

[3]
Entry from the Alexandria database: Ca2MgW after structural relaxation (PBE-GGA).

Output
Spin magnetization (μB/cell): 3.2
Uncorrected energy (eV/atom): -3.79
D(E_F) (states/eV/f.u.): 3.84

POSCAR file:
```
Ca2MgW
1.0
5.228 0.000 0.000
0.000 5.228 0.000
0.000 0.000 3.848
Ca Mg W
2 1 1
direct
0.000 0.500 0.000 Ca
0.500 0.000 0.000 Ca
0.000 0.000 0.500 Mg
0.500 0.500 0.500 W
```

[4]
Entry from the Alexandria database: Y2CoGe4Pt3 after structural relaxation (PBE-GGA).

Output
Spin magnetization (μB/cell): 0.8
Uncorrected energy (eV/atom): -6.48
D(E_F) (states/eV/f.u.): 5.09

POSCAR file:
```
Y2CoGe4Pt3
1.0
4.128 0.000 0.000
0.000 4.128 0.000
0.000 0.000 10.685
Y Co Ge Pt
2 1 4 3
direct
0.000 0.500 0.238 Y
0.500 0.000 0.762 Y
0.500 0.500 0.000 Co
0.000 0.000 0.500 Ge
0.000 0.500 0.873 Ge
0.500 0.000 0.127 Ge
0.500 0.500 0.500 Ge
0.000 0.000 0.000 Pt
0.000 0.500 0.643 Pt
0.500 0.000 0.357 Pt
```

[5]
Entry from the Alexandria database: Pr4InSn3 after structural relaxation (PBE-GGA).

Output
Spin magnetization (μB/cell): 0.0
Uncorrected energy (eV/atom): -4.95
D(E_F) (states/eV/f.u.): 6.87

POSCAR file:
```
Pr4InSn3
1.0
4.434 0.000 0.000
0.000 4.725 0.000
0.000 0.000 11.884
Pr In Sn
4 1 3
direct
0.000 0.000 0.000 Pr
0.000 0.500 0.499 Pr
0.500 0.000 0.273 Pr
0.500 0.500 0.775 Pr
0.500 0.000 0.553 In
0.000 0.000 0.721 Sn
0.000 0.500 0.224 Sn
0.500 0.500 0.049 Sn
```

[6]
Entry from the Alexandria database: Ba2Cd3In4Ge after structural relaxation (PBE-GGA).

Output
Spin magnetization (μB/cell): 0.0
Uncorrected energy (eV/atom): -2.54
D(E_F) (states/eV/f.u.): 3.85

POSCAR file:
```
Ba2Cd3In4Ge
1.0
4.940 0.000 0.000
0.000 4.940 0.000
0.000 0.000 12.059
Ba Cd In Ge
2 3 4 1
direct
0.000 0.500 0.240 Ba
0.500 0.000 0.760 Ba
0.000 0.000 0.000 Cd
0.000 0.500 0.638 Cd
0.500 0.000 0.362 Cd
0.000 0.000 0.500 In
0.000 0.500 0.874 In
0.500 0.000 0.126 In
0.500 0.500 0.500 In
0.500 0.500 0.000 Ge
```

[7]
Entry from the Alexandria database: AlAg3Au after structural relaxation (PBE-GGA).

Output
Excess energy over the best structure of this formula in the dataset (meV per atom): 0
Spin magnetization (μB/cell): 0.0
Uncorrected energy (eV/atom): -3.12
D(E_F) (states/eV/f.u.): 1.10

POSCAR file:
```
AlAg3Au
1.0
5.596 0.000 0.000
0.000 8.366 0.000
0.000 0.000 7.803
Al Ag Au
4 12 4
direct
0.000 0.000 0.000 Al
0.000 0.500 0.000 Al
0.500 0.000 0.500 Al
0.500 0.500 0.500 Al
0.094 0.046 0.325 Ag
0.094 0.454 0.325 Ag
0.232 0.750 0.510 Ag
0.268 0.250 0.010 Ag
0.406 0.546 0.825 Ag
0.406 0.954 0.825 Ag
0.594 0.046 0.175 Ag
0.594 0.454 0.175 Ag
0.732 0.750 0.990 Ag
0.768 0.250 0.490 Ag
0.906 0.546 0.675 Ag
0.906 0.954 0.675 Ag
0.235 0.750 0.119 Au
0.265 0.250 0.619 Au
0.735 0.750 0.381 Au
0.765 0.250 0.881 Au
```

[8]
Entry from the Alexandria database: Ti2VZn5Cu2 after structural relaxation (PBE-GGA).

Output
Spin magnetization (μB/cell): 1.0
Uncorrected energy (eV/atom): -4.00
D(E_F) (states/eV/f.u.): 6.42

POSCAR file:
```
Ti2VZn5Cu2
1.0
8.508 0.000 0.000
0.000 8.508 0.000
0.000 0.000 4.000
Ti V Zn Cu
4 2 10 4
direct
0.179 0.321 0.000 Ti
0.321 0.821 0.000 Ti
0.679 0.179 0.000 Ti
0.821 0.679 0.000 Ti
0.000 0.000 0.000 V
0.500 0.500 0.000 V
0.000 0.500 0.500 Zn
0.061 0.795 0.500 Zn
0.205 0.061 0.500 Zn
0.295 0.561 0.500 Zn
0.439 0.295 0.500 Zn
0.500 0.000 0.500 Zn
0.561 0.705 0.500 Zn
0.705 0.439 0.500 Zn
0.795 0.939 0.500 Zn
0.939 0.205 0.500 Zn
0.117 0.617 0.000 Cu
0.383 0.117 0.000 Cu
0.617 0.883 0.000 Cu
0.883 0.383 0.000 Cu
```

[9]
Entry from the Alexandria database: LaCo2Ru after structural relaxation (PBE-GGA).

Output
Spin magnetization (μB/cell): 2.6
Uncorrected energy (eV/atom): -7.15
D(E_F) (states/eV/f.u.): 2.85

POSCAR file:
```
LaCo2Ru
1.0
2.097 1.211 4.964
-2.097 1.211 4.964
0.000 -2.422 4.964
La Co Ru
1 2 1
direct
0.000 0.000 0.000 La
0.188 0.188 0.188 Co
0.812 0.812 0.812 Co
0.500 0.500 0.500 Ru
```

[10]
Entry from the Alexandria database: Na3LaTc after structural relaxation (PBE-GGA).

Output
Excess energy over the best structure of this formula in the dataset (meV per atom): 0
Spin magnetization (μB/cell): 0.0
Uncorrected energy (eV/atom): -3.82
D(E_F) (states/eV/f.u.): 4.14

POSCAR file:
```
Na3LaTc
1.0
4.104 0.000 0.000
-2.051 3.556 0.000
-0.340 -2.159 24.923
Na La Tc
6 2 2
direct
0.000 0.000 0.000 Na
0.070 0.150 0.227 Na
0.298 0.593 0.887 Na
0.700 0.408 0.114 Na
0.775 0.567 0.342 Na
0.927 0.852 0.774 Na
0.486 0.994 0.473 La
0.548 0.096 0.644 La
0.178 0.371 0.546 Tc
0.855 0.720 0.571 Tc
```

[11]
Entry from the Alexandria database: LaPr2TcN4 after structural relaxation (PBE-GGA).

Output
Spin magnetization (μB/cell): 0.0
Raw formation energy (eV/atom): -0.901
Uncorrected energy (eV/atom): -8.17
D(E_F) (states/eV/f.u.): 2.47

POSCAR file:
```
LaPr2TcN4
1.0
1.787 -6.116 0.000
1.787 6.116 0.000
0.000 0.000 12.197
La Pr Tc N
2 4 2 8
direct
0.120 0.880 0.750 La
0.880 0.120 0.250 La
0.368 0.632 0.541 Pr
0.368 0.632 0.959 Pr
0.632 0.368 0.041 Pr
0.632 0.368 0.459 Pr
0.150 0.850 0.250 Tc
0.850 0.150 0.750 Tc
0.000 0.000 0.000 N
0.000 0.000 0.500 N
0.269 0.731 0.136 N
0.269 0.731 0.364 N
0.422 0.578 0.750 N
0.578 0.422 0.250 N
0.731 0.269 0.636 N
0.731 0.269 0.864 N
```

[12]
Entry from the Alexandria database: CeDyAgAu after structural relaxation (PBE-GGA).

Output
Excess energy over the best structure of this formula in the dataset (meV per atom): 0
Spin magnetization (μB/cell): 1.2
Uncorrected energy (eV/atom): -4.63
D(E_F) (states/eV/f.u.): 7.70

POSCAR file:
```
CeDyAgAu
1.0
3.598 0.000 0.000
0.000 3.598 0.000
0.000 0.000 7.595
Ce Dy Ag Au
1 1 1 1
direct
0.000 0.000 0.000 Ce
0.000 0.000 0.488 Dy
0.500 0.500 0.724 Ag
0.500 0.500 0.265 Au
```

[13]
Entry from the Alexandria database: AgAu after structural relaxation (PBE-GGA).

Output
Spin magnetization (μB/cell): 0.0
Uncorrected energy (eV/atom): -2.42
D(E_F) (states/eV/f.u.): 0.79

POSCAR file:
```
AgAu
1.0
7.613 0.000 0.000
0.000 7.613 0.000
0.000 0.000 7.613
Ag Au
6 6
direct
0.000 0.250 0.500 Ag
0.000 0.750 0.500 Ag
0.250 0.500 0.000 Ag
0.500 0.000 0.250 Ag
0.500 0.000 0.750 Ag
0.750 0.500 0.000 Ag
0.000 0.500 0.250 Au
0.000 0.500 0.750 Au
0.250 0.000 0.500 Au
0.500 0.250 0.000 Au
0.500 0.750 0.000 Au
0.750 0.000 0.500 Au
```

[14]
Entry from the Alexandria database: NdCd5Ag7 after structural relaxation (PBE-GGA).

Output
Spin magnetization (μB/cell): 0.0
Uncorrected energy (eV/atom): -2.34
D(E_F) (states/eV/f.u.): 5.11

POSCAR file:
```
NdCd5Ag7
1.0
-2.833 4.910 4.876
2.833 -4.910 4.876
2.833 4.910 -4.876
Nd Cd Ag
1 5 7
direct
0.000 0.000 0.000 Nd
0.004 0.009 0.496 Cd
0.004 0.508 0.995 Cd
0.218 0.718 0.500 Cd
0.513 0.009 0.005 Cd
0.513 0.508 0.504 Cd
0.225 0.509 0.716 Ag
0.350 0.350 0.000 Ag
0.359 0.009 0.351 Ag
0.651 0.651 0.000 Ag
0.658 0.009 0.649 Ag
0.792 0.509 0.284 Ag
0.799 0.299 0.500 Ag
```

[15]
Entry from the Alexandria database: RbTaSb2Te after structural relaxation (PBE-GGA).

Output
Excess energy over the best structure of this formula in the dataset (meV per atom): 2334
Spin magnetization (μB/cell): 0.0
Raw formation energy (eV/atom): 2.271
Uncorrected energy (eV/atom): -2.57
D(E_F) (states/eV/f.u.): 11.30

POSCAR file:
```
RbTaSb2Te
1.0
5.677 0.000 0.000
0.000 5.677 0.000
0.000 0.000 5.814
Rb Ta Sb Te
1 1 2 1
direct
0.000 0.000 0.000 Rb
0.500 0.500 0.500 Ta
0.000 0.500 0.000 Sb
0.500 0.000 0.000 Sb
0.000 0.000 0.500 Te
```

[16]
Entry from the Alexandria database: TbRe2AgO8 after structural relaxation (PBE-GGA).

Output
Spin magnetization (μB/cell): 0.0
Raw formation energy (eV/atom): -1.701
Uncorrected energy (eV/atom): -7.70
D(E_F) (states/eV/f.u.): 4.57

POSCAR file:
```
TbRe2AgO8
1.0
6.317 0.000 0.000
-3.159 5.471 0.000
0.000 0.000 6.701
Tb Re Ag O
1 2 1 8
direct
0.000 0.000 0.000 Tb
0.333 0.667 0.259 Re
0.667 0.333 0.741 Re
0.000 0.000 0.500 Ag
0.177 0.355 0.180 O
0.177 0.823 0.180 O
0.333 0.667 0.520 O
0.355 0.177 0.820 O
0.645 0.823 0.180 O
0.667 0.333 0.480 O
0.823 0.177 0.820 O
0.823 0.645 0.820 O
```

[17]
Entry from the Alexandria database: DyScSnRu after structural relaxation (PBE-GGA).

Output
Spin magnetization (μB/cell): 0.0
Uncorrected energy (eV/atom): -6.49
D(E_F) (states/eV/f.u.): 2.31

POSCAR file:
```
DyScSnRu
1.0
0.000 3.486 3.486
3.486 0.000 3.486
3.486 3.486 0.000
Dy Sc Sn Ru
1 1 1 1
direct
0.000 0.000 0.000 Dy
0.500 0.500 0.500 Sc
0.750 0.750 0.750 Sn
0.250 0.250 0.250 Ru
```

[18]
Entry from the Alexandria database: Li2TiNb2 after structural relaxation (PBE-GGA).

Output
Excess energy over the best structure of this formula in the dataset (meV per atom): 113
Spin magnetization (μB/cell): 0.0
Uncorrected energy (eV/atom): -5.74
D(E_F) (states/eV/f.u.): 4.79

POSCAR file:
```
Li2TiNb2
1.0
-1.963 1.963 5.320
1.963 -1.963 5.320
1.963 1.963 -5.320
Li Ti Nb
2 1 2
direct
0.085 0.085 0.000 Li
0.915 0.915 0.000 Li
0.500 0.500 0.000 Ti
0.250 0.750 0.500 Nb
0.750 0.250 0.500 Nb
```

[19]
Entry from the Alexandria database: MgTi after structural relaxation (PBE-GGA).

Output
Spin magnetization (μB/cell): 1.9
Uncorrected energy (eV/atom): -4.56
D(E_F) (states/eV/f.u.): 2.48

POSCAR file:
```
MgTi
1.0
6.136 0.000 0.000
-3.068 5.314 0.000
0.000 0.000 4.820
Mg Ti
4 4
direct
0.000 0.000 0.000 Mg
0.345 0.173 0.500 Mg
0.827 0.173 0.500 Mg
0.827 0.655 0.500 Mg
0.037 0.519 0.000 Ti
0.333 0.667 0.500 Ti
0.481 0.519 0.000 Ti
0.481 0.963 0.000 Ti
```

[20]
Entry from the Alexandria database: CdHgPO2 after structural relaxation (PBE-GGA).

Output
Excess energy over the best structure of this formula in the dataset (meV per atom): 0
Spin magnetization (μB/cell): 1.5
Raw formation energy (eV/atom): 0.469
Uncorrected energy (eV/atom): -2.84
D(E_F) (states/eV/f.u.): 4.61

POSCAR file:
```
CdHgPO2
1.0
4.104 0.000 0.000
0.000 4.104 0.000
0.000 0.000 5.526
Cd Hg P O
1 1 1 2
direct
0.000 0.000 0.000 Cd
0.500 0.500 0.500 Hg
0.000 0.000 0.500 P
0.000 0.500 0.000 O
0.500 0.000 0.000 O
```